Material: YMnGa2O6
Method: DFT, PBE with a Hubbard U
State: optimized geometry

Summary:
Its electronic total energy is -6.983 eV/atom. As for the volume: 111 Å³/cell. The total moment is 2.00 μB per formula unit. The space group is No. 1.

Cell and atoms, written as POSCAR:
```
YMnGa2O6
1.0
-1.4087 -5.0440 0.2968
1.3564 -3.3315 -3.8271
3.9498 -3.7392 1.0586
O Mn Ga Y
6 1 2 1
Cartesian
3.4671 -7.0620 -1.8453 O
0.4873 -7.5162 -1.8268 O
1.8493 -5.1206 -3.1535 O
0.4032 -4.7778 -0.4854 O
3.2638 -4.8421 -0.5278 O
2.1924 -7.0034 0.4065 O
0.1294 -2.8323 -1.1018 Mn
1.6100 -5.9805 -1.4267 Ga
3.7858 -3.7029 0.9752 Ga
2.3768 -8.9579 -2.1623 Y
```